A relaxed structure of LiSb2Os. Source: the Alexandria database, functional GGA-PBE.

Unit cell a=3.222 b=3.220 c=7.662 alpha=90.00 beta=90.10 gamma=90.00
Fractional positions:
Li: 0.000 0.000 0.000
Sb: 0.499 0.500 0.279
Sb: 0.501 0.500 0.721
Os: 0.000 0.000 0.500

## Properties
magnetic moment = 0.00 Bohr magnetons per cell
E_form (uncorrected) = 0.066 eV per atom
polymorph energy (0 for the lowest one) = 0.052 eV/atom
D(E_F) = 3.03 states/eV/f.u.

A relaxed structure of LiSbOs2. Source: the Alexandria database, functional GGA-PBE.

Unit cell a=2.925 b=2.925 c=8.281 alpha=90.00 beta=90.00 gamma=90.00
Fractional positions:
Li: 0.000 0.000 0.000
Sb: 0.500 0.500 0.668
Os: 0.000 0.000 0.420
Os: 0.500 0.500 0.227

## Properties
magnetic moment = 0.00 Bohr magnetons per cell
E_form (uncorrected) = 0.295 eV per atom
D(E_F) = 1.60 states/eV/f.u.

A relaxed structure of LiSb2Os. Source: the Alexandria database, functional GGA-PBE.

Unit cell a=6.208 b=7.097 c=3.363 alpha=90.00 beta=90.24 gamma=90.00
Fractional positions:
Li: 0.000 0.000 0.000
Li: 0.500 0.500 0.000
Sb: 0.250 0.250 0.500
Sb: 0.250 0.750 0.500
Sb: 0.750 0.250 0.500
Sb: 0.750 0.750 0.500
Os: 0.000 0.500 0.000
Os: 0.500 0.000 0.000

## Properties
magnetic moment = 0.00 Bohr magnetons per cell
E_form (uncorrected) = 0.262 eV per atom
polymorph energy (0 for the lowest one) = 0.248 eV/atom
D(E_F) = 2.06 states/eV/f.u.

A relaxed structure of Li4SbOs. Source: the Alexandria database, functional GGA-PBE.

Unit cell a=4.853 b=4.853 c=4.853 alpha=60.00 beta=60.00 gamma=60.00
Fractional positions:
Li: 0.122 0.122 0.122
Li: 0.122 0.122 0.634
Li: 0.122 0.634 0.122
Li: 0.634 0.122 0.122
Sb: 0.500 0.500 0.500
Os: 0.750 0.750 0.750

## Properties
magnetic moment = 0.00 Bohr magnetons per cell
E_form (uncorrected) = 0.121 eV per atom
D(E_F) = 3.95 states/eV/f.u.

A relaxed structure of LiSn2SbOs. Source: the Alexandria database, functional GGA-PBE.

Unit cell a=4.858 b=4.858 c=4.476 alpha=90.00 beta=90.00 gamma=90.00
Fractional positions:
Li: 0.000 0.000 0.000
Sn: 0.000 0.500 0.000
Sn: 0.500 0.000 0.000
Sb: 0.500 0.500 0.500
Os: 0.000 0.000 0.500

## Properties
magnetic moment = 0.00 Bohr magnetons per cell
E_form (uncorrected) = 0.842 eV per atom
D(E_F) = 3.84 states/eV/f.u.

A relaxed structure of LiSbTe2Os. Source: the Alexandria database, functional GGA-PBE.

Unit cell a=4.877 b=4.877 c=4.662 alpha=90.00 beta=90.00 gamma=90.00
Fractional positions:
Li: 0.000 0.000 0.000
Sb: 0.000 0.000 0.500
Te: 0.000 0.500 0.000
Te: 0.500 0.000 0.000
Os: 0.500 0.500 0.500

## Properties
magnetic moment = 0.00 Bohr magnetons per cell
E_form (uncorrected) = 1.138 eV per atom
polymorph energy (0 for the lowest one) = 0.675 eV/atom
D(E_F) = 5.63 states/eV/f.u.

A relaxed structure of LiSbTe2Os. Source: the Alexandria database, functional GGA-PBE.

Unit cell a=5.498 b=5.498 c=4.996 alpha=90.00 beta=90.00 gamma=90.00
Fractional positions:
Li: 0.000 0.000 0.000
Sb: 0.500 0.500 0.000
Te: 0.000 0.500 0.500
Te: 0.500 0.000 0.500
Os: 0.500 0.500 0.500

## Properties
magnetic moment = 0.00 Bohr magnetons per cell
E_form (uncorrected) = 0.463 eV per atom
polymorph energy (0 for the lowest one) = 0.000 eV/atom
D(E_F) = 6.01 states/eV/f.u.

A relaxed structure of LiUSbOs. Source: the Alexandria database, functional GGA-PBE.

Unit cell a=6.675 b=6.675 c=6.675 alpha=90.00 beta=90.00 gamma=90.00
Fractional positions:
Li: 0.000 0.000 0.000
Li: 0.000 0.500 0.500
Li: 0.500 0.000 0.500
Li: 0.500 0.500 0.000
U: 0.250 0.250 0.750
U: 0.250 0.750 0.250
U: 0.750 0.250 0.250
U: 0.750 0.750 0.750
Sb: 0.250 0.250 0.250
Sb: 0.250 0.750 0.750
Sb: 0.750 0.250 0.750
Sb: 0.750 0.750 0.250
Os: 0.000 0.000 0.500
Os: 0.000 0.500 0.000
Os: 0.500 0.000 0.000
Os: 0.500 0.500 0.500

## Properties
magnetic moment = 8.05 Bohr magnetons per cell
E_form (uncorrected) = -0.061 eV per atom
D(E_F) = 7.13 states/eV/f.u.

A relaxed structure of LiZnSb2Os. Source: the Alexandria database, functional GGA-PBE.

Unit cell a=4.778 b=4.778 c=4.233 alpha=90.00 beta=90.00 gamma=90.00
Fractional positions:
Li: 0.000 0.000 0.000
Zn: 0.000 0.000 0.500
Sb: 0.000 0.500 0.000
Sb: 0.500 0.000 0.000
Os: 0.500 0.500 0.500

## Properties
magnetic moment = 0.33 Bohr magnetons per cell
E_form (uncorrected) = 1.061 eV per atom
D(E_F) = 5.06 states/eV/f.u.

A relaxed structure of Li2ScOs. Source: the Alexandria database, functional GGA-PBE.

Unit cell a=5.171 b=9.943 c=2.869 alpha=90.00 beta=117.14 gamma=90.00
Fractional positions:
Li: 0.250 0.250 0.000
Li: 0.250 0.750 0.000
Li: 0.750 0.250 0.000
Li: 0.750 0.750 0.000
Sc: 0.000 0.000 0.500
Sc: 0.500 0.500 0.500
Os: 0.000 0.500 0.500
Os: 0.500 0.000 0.500

## Properties
magnetic moment = 0.00 Bohr magnetons per cell
ΔE_f = 0.13 eV per atom
polymorph energy (0 for the lowest one) = 0.086 eV/atom
D(E_F) = 1.79 states/eV/f.u.

A relaxed structure of Li2ScOs. Source: the Alexandria database, functional GGA-PBE.

Unit cell a=3.021 b=3.021 c=27.955 alpha=90.00 beta=90.00 gamma=120.00
Fractional positions:
Li: 0.000 0.000 0.000
Li: 0.000 0.000 0.242
Li: 0.333 0.667 0.667
Li: 0.333 0.667 0.908
Li: 0.667 0.333 0.333
Li: 0.667 0.333 0.575
Sc: 0.000 0.000 0.477
Sc: 0.333 0.667 0.144
Sc: 0.667 0.333 0.810
Os: 0.000 0.000 0.740
Os: 0.333 0.667 0.407
Os: 0.667 0.333 0.074

## Properties
magnetic moment = 0.00 Bohr magnetons per cell
ΔE_f = 0.17 eV per atom
polymorph energy (0 for the lowest one) = 0.129 eV/atom
D(E_F) = 3.42 states/eV/f.u.

A relaxed structure of Li2ScOs. Source: the Alexandria database, functional GGA-PBE.

Unit cell a=3.711 b=3.711 c=20.165 alpha=90.00 beta=90.00 gamma=90.00
Fractional positions:
Li: 0.208 0.250 0.125
Li: 0.250 0.708 0.375
Li: 0.250 0.792 0.875
Li: 0.292 0.250 0.625
Li: 0.708 0.750 0.625
Li: 0.750 0.208 0.875
Li: 0.750 0.292 0.375
Li: 0.792 0.750 0.125
Sc: 0.000 0.000 0.500
Sc: 0.000 0.500 0.750
Sc: 0.500 0.000 0.250
Sc: 0.500 0.500 0.000
Os: 0.000 0.000 0.000
Os: 0.000 0.500 0.250
Os: 0.500 0.000 0.750
Os: 0.500 0.500 0.500

## Properties
magnetic moment = 0.00 Bohr magnetons per cell
ΔE_f = 0.28 eV per atom
polymorph energy (0 for the lowest one) = 0.241 eV/atom
D(E_F) = 3.21 states/eV/f.u.

> What is the formula in the eighth record?

LiUSbOs

> What is the formula in the fifth record?

LiSn2SbOs